Material: Sc2BeSiSb
Method: DFT, GGA-PBEsol
State: optimized geometry

Computed properties:
**SG**: P4/mmm, No. 123
**E_form (uncorrected)**: -1.22 eV per formula unit

a b c (Å): 3.978 4.855 4.855
angles (deg): 90.00 90.00 90.00
Fractional coordinates of all 5 atoms:
Sc: 0.000 0.000 0.500
Sc: 0.000 0.500 0.000
Sb: 0.500 0.500 0.500
Si: 0.500 0.000 0.000
Be: 0.000 0.000 0.000